No. 1
Here is an optimized crystal structure of Li2TlZn2 from the Alexandria database. Energies are from GGA-PBE.

Properties
The calculation puts the total magnetization at 0.0 μB/cell. The calculated volume is 20.04 A^3/atom. For the density of states at the Fermi level, the calculation gives 1.77 states/eV per cell. As for the symmetry: I4/mmm (139). The excess energy over the best structure of this formula in the dataset is 157 meV per atom.

Cell: 6.808 6.808 6.808 Å, 145.61 145.61 49.43°
Positions (direct):
Li: 0.250 0.750 0.500
Li: 0.750 0.250 0.500
Tl: 0.000 0.000 0.000
Zn: 0.395 0.395 0.000
Zn: 0.605 0.605 0.000

=====

No. 2
Here is an optimized crystal structure of Li2TlZn2 from the Alexandria database. Energies are from GGA-PBE.

Properties
The calculation puts the total magnetization at 0.0 μB/cell. The calculated volume is 18.16 A^3/atom. For the density of states at the Fermi level, the calculation gives 4.38 states/eV per cell. As for the symmetry: P4/mbm (127). The excess energy over the best structure of this formula in the dataset is 96 meV per atom.

Cell: 7.489 7.489 3.239 Å, 90.00 90.00 90.00°
Positions (direct):
Li: 0.152 0.348 0.000
Li: 0.348 0.848 0.000
Li: 0.652 0.152 0.000
Li: 0.848 0.652 0.000
Tl: 0.000 0.000 0.000
Tl: 0.500 0.500 0.000
Zn: 0.135 0.635 0.500
Zn: 0.365 0.135 0.500
Zn: 0.635 0.865 0.500
Zn: 0.865 0.365 0.500

=====

No. 3
Here is an optimized crystal structure of Li3Tl4Zn from the Alexandria database. Energies are from GGA-PBE.

Properties
The calculation puts the total magnetization at 0.0 μB/cell. For the total energy, the calculation gives -2.188 eV/atom. The calculated volume is 21.79 A^3/atom. For the density of states at the Fermi level, the calculation gives 7.51 states/eV per cell. As for the symmetry: Pmma (51).

Cell: 9.792 7.268 4.898 Å, 90.00 90.00 90.00°
Positions (direct):
Li: 0.000 0.000 0.000
Li: 0.250 0.000 0.499
Li: 0.250 0.500 0.498
Li: 0.500 0.000 0.000
Li: 0.750 0.000 0.501
Li: 0.750 0.500 0.502
Tl: 0.000 0.249 0.500
Tl: 0.000 0.751 0.500
Tl: 0.250 0.249 0.999
Tl: 0.250 0.751 0.999
Tl: 0.500 0.249 0.500
Tl: 0.500 0.751 0.500
Tl: 0.750 0.249 0.001
Tl: 0.750 0.751 0.001
Zn: 0.000 0.500 0.000
Zn: 0.500 0.500 0.000

=====

No. 4
Here is an optimized crystal structure of LiTlZn2 from the Alexandria database. Energies are from GGA-PBE.

Properties
The calculation puts the total magnetization at 0.0 μB/cell. For the total energy, the calculation gives -1.713 eV/atom. The calculated volume is 19.09 A^3/atom. For the density of states at the Fermi level, the calculation gives 1.19 states/eV per cell. As for the symmetry: Cm (8).

Cell: 4.871 4.871 4.907 Å, 103.80 103.80 42.73°
Positions (direct):
Li: 0.000 0.000 0.000
Tl: 0.759 0.759 0.254
Zn: 0.250 0.250 0.745
Zn: 0.516 0.516 0.569

=====

No. 5
Here is an optimized crystal structure of Li4TlZn from the Alexandria database. Energies are from GGA-PBE.

Properties
The calculation puts the total magnetization at 0.0 μB/cell. The calculated volume is 17.78 A^3/atom. For the density of states at the Fermi level, the calculation gives 2.19 states/eV per cell. As for the symmetry: P4/mmm (123). The excess energy over the best structure of this formula in the dataset is 22 meV per atom.

Cell: 3.364 3.364 9.426 Å, 90.00 90.00 90.00°
Positions (direct):
Li: 0.000 0.000 0.149
Li: 0.000 0.000 0.851
Li: 0.500 0.500 0.315
Li: 0.500 0.500 0.685
Tl: 0.000 0.000 0.500
Zn: 0.500 0.500 0.000

=====

No. 6
Here is an optimized crystal structure of Li2TlZn2 from the Alexandria database. Energies are from GGA-PBE.

Properties
The calculation puts the total magnetization at 0.0 μB/cell. The calculated volume is 17.99 A^3/atom. For the density of states at the Fermi level, the calculation gives 3.16 states/eV per cell. As for the symmetry: P4/mbm (127). The excess energy over the best structure of this formula in the dataset is 19 meV per atom.

Cell: 7.426 7.426 3.262 Å, 90.00 90.00 90.00°
Positions (direct):
Li: 0.171 0.329 0.000
Li: 0.329 0.829 0.000
Li: 0.671 0.171 0.000
Li: 0.829 0.671 0.000
Tl: 0.000 0.000 0.500
Tl: 0.500 0.500 0.500
Zn: 0.123 0.623 0.500
Zn: 0.377 0.123 0.500
Zn: 0.623 0.877 0.500
Zn: 0.877 0.377 0.500

=====

No. 7
Here is an optimized crystal structure of LiTlZn2 from the Alexandria database. Energies are from GGA-PBE.

Properties
The calculation puts the total magnetization at 0.0 μB/cell. For the total energy, the calculation gives -1.734 eV/atom. The calculated volume is 18.55 A^3/atom. For the density of states at the Fermi level, the calculation gives 0.88 states/eV per cell. As for the symmetry: P4mm (99).

Cell: 3.510 3.510 6.023 Å, 90.00 90.00 90.00°
Positions (direct):
Li: 0.000 0.000 0.000
Tl: 0.500 0.500 0.258
Zn: 0.000 0.000 0.557
Zn: 0.500 0.500 0.757

=====

No. 8
Here is an optimized crystal structure of Li6TlZn from the Alexandria database. Energies are from GGA-PBE.

Properties
The calculation puts the total magnetization at 0.0 μB/cell. For the total energy, the calculation gives -2.037 eV/atom. The calculated volume is 17.97 A^3/atom. For the density of states at the Fermi level, the calculation gives 2.73 states/eV per cell. As for the symmetry: Amm2 (38).

Cell: 4.838 5.856 5.856 Å, 60.07 90.00 90.00°
Positions (direct):
Li: 0.000 0.000 0.000
Li: 0.000 0.000 0.488
Li: 0.000 0.488 0.000
Li: 0.500 0.170 0.661
Li: 0.500 0.660 0.660
Li: 0.500 0.661 0.170
Tl: 0.000 0.496 0.496
Zn: 0.500 0.164 0.164

=====

No. 9
Here is an optimized crystal structure of Li3Tl2Zn from the Alexandria database. Energies are from GGA-PBE.

Properties
The calculation puts the total magnetization at 0.0 μB/cell. The calculated volume is 19.04 A^3/atom. For the density of states at the Fermi level, the calculation gives 3.33 states/eV per cell. As for the symmetry: Cmmm (65). The excess energy over the best structure of this formula in the dataset is 0 meV per atom.

Cell: 7.606 7.606 6.579 Å, 90.00 90.00 143.11°
Positions (direct):
Li: 0.000 0.000 0.240
Li: 0.000 0.000 0.760
Li: 0.328 0.672 0.230
Li: 0.328 0.672 0.770
Li: 0.672 0.328 0.230
Li: 0.672 0.328 0.770
Tl: 0.167 0.833 0.500
Tl: 0.500 0.500 0.000
Tl: 0.500 0.500 0.500
Tl: 0.833 0.167 0.500
Zn: 0.165 0.835 0.000
Zn: 0.835 0.165 0.000

=====

No. 10
Here is an optimized crystal structure of Li14TlZn from the Alexandria database. Energies are from GGA-PBE.

Properties
The calculation puts the total magnetization at 0.0 μB/cell. For the total energy, the calculation gives -1.968 eV/atom. The calculated volume is 18.76 A^3/atom. For the density of states at the Fermi level, the calculation gives 7.87 states/eV per cell. As for the symmetry: P4/mmm (123).

Cell: 6.629 6.629 6.831 Å, 90.00 90.00 90.00°
Positions (direct):
Li: 0.000 0.000 0.000
Li: 0.000 0.500 0.000
Li: 0.000 0.500 0.500
Li: 0.244 0.244 0.264
Li: 0.244 0.244 0.736
Li: 0.244 0.756 0.264
Li: 0.244 0.756 0.736
Li: 0.500 0.000 0.000
Li: 0.500 0.000 0.500
Li: 0.500 0.500 0.000
Li: 0.756 0.244 0.264
Li: 0.756 0.244 0.736
Li: 0.756 0.756 0.264
Li: 0.756 0.756 0.736
Tl: 0.500 0.500 0.500
Zn: 0.000 0.000 0.500

=====

No. 11
Here is an optimized crystal structure of LiTlZn2 from the Alexandria database. Energies are from GGA-PBE.

Properties
The calculation puts the total magnetization at 0.0 μB/cell. For the total energy, the calculation gives -1.650 eV/atom. The calculated volume is 19.69 A^3/atom. For the density of states at the Fermi level, the calculation gives 2.17 states/eV per cell. As for the symmetry: P4/mmm (123).

Cell: 3.144 3.144 7.972 Å, 90.00 90.00 90.00°
Positions (direct):
Li: 0.000 0.000 0.000
Tl: 0.000 0.000 0.500
Zn: 0.500 0.500 0.208
Zn: 0.500 0.500 0.792